# PrP2AuO8 PBE relaxed
# DOS(E_F) ... 4.8 states/eV/cell
# Calculated total energy ... -80.86 eV per formula unit
# Formation energy without anion corrections ... -1.860 eV/atom
data_PrP2AuO8
_cell_length_a 4.8192
_cell_length_b 4.8192
_cell_length_c 22.0477
_cell_angle_alpha 90.00
_cell_angle_beta 90.00
_cell_angle_gamma 120.00
_symmetry_space_group_name_H-M 'R 3 2'
_symmetry_Int_Tables_number 155
_symmetry_space_group_name_Hall 'R 3 2"'
loop_
_atom_site_label
_atom_site_fract_x
_atom_site_fract_y
_atom_site_fract_z
Pr1 0.0000 0.0000 0.0000
P1 0.0000 0.0000 0.2533
Au1 0.0000 0.0000 0.5000
O1 0.0000 0.0000 0.3239
O2 0.0133 0.3153 0.7663